Entry 1:
Here is Rb2NaHfCl6 after structural relaxation from the Alexandria database. Energies are from PBE.

```
Rb2NaHfCl6
1.0
7.418 0.000 0.000
3.709 6.424 0.000
3.709 2.141 12.722
Rb Na Hf Cl
4 2 2 12
direct
0.869 0.869 0.393 Rb
0.131 0.131 0.607 Rb
0.704 0.704 0.888 Rb
0.296 0.296 0.112 Rb
0.587 0.587 0.239 Na
0.413 0.413 0.761 Na
0.000 0.000 0.000 Hf
0.500 0.500 0.500 Hf
0.862 0.375 0.387 Cl
0.375 0.862 0.387 Cl
0.375 0.375 0.387 Cl
0.138 0.625 0.613 Cl
0.625 0.138 0.613 Cl
0.625 0.625 0.613 Cl
0.718 0.198 0.885 Cl
0.198 0.718 0.885 Cl
0.198 0.198 0.885 Cl
0.282 0.802 0.115 Cl
0.802 0.282 0.115 Cl
0.802 0.802 0.115 Cl
```

Properties
Formation energy (no corrections) = -1.79 eV per atom
Space group = R-3m (166)
Magnetic moment = 1.005 μB per formula unit
Volume = 606 Å³/cell
Electronic total energy = -84.4 eV for the cell shown
Fermi-level density of states = 10.0 states/eV/cell

---

Entry 2:
Here is RbNa2HfCl8 after structural relaxation from the Alexandria database. Energies are from PBE.

```
RbNa2HfCl8
1.0
-6.323 0.274 2.104
-1.705 -1.527 -5.284
0.414 -8.928 2.419
Rb Na Hf Cl
1 2 1 8
direct
0.000 0.000 0.500 Rb
0.500 0.499 0.776 Na
0.500 0.501 0.224 Na
0.000 0.000 0.000 Hf
0.145 0.760 0.192 Cl
0.689 0.760 0.999 Cl
0.854 0.238 0.192 Cl
0.855 0.240 0.808 Cl
0.311 0.240 0.001 Cl
0.146 0.762 0.808 Cl
0.512 0.748 0.500 Cl
0.488 0.252 0.500 Cl
```

Properties
Formation energy (no corrections) = -1.67 eV per atom
Space group = P-1 (2)
Magnetic moment = 0.228 μB per formula unit
Volume = 356 Å³/cell
Electronic total energy = -48.4 eV for the cell shown
Fermi-level density of states = 1.4 states/eV/cell

---

Entry 3:
Here is RbNaHfCl6 after structural relaxation from the Alexandria database. Energies are from PBE.

```
RbNaHfCl6
1.0
7.054 0.000 0.000
-3.527 6.109 0.000
0.000 0.000 14.035
Rb Na Hf Cl
2 2 2 12
direct
0.000 0.000 0.000 Rb
0.000 0.000 0.500 Rb
0.333 0.667 0.250 Na
0.667 0.333 0.750 Na
0.667 0.333 0.250 Hf
0.333 0.667 0.750 Hf
0.648 0.609 0.148 Cl
0.961 0.352 0.148 Cl
0.352 0.961 0.648 Cl
0.039 0.648 0.852 Cl
0.391 0.352 0.352 Cl
0.961 0.609 0.352 Cl
0.609 0.961 0.852 Cl
0.648 0.039 0.352 Cl
0.039 0.391 0.648 Cl
0.391 0.039 0.148 Cl
0.609 0.648 0.648 Cl
0.352 0.391 0.852 Cl
```

Properties
Formation energy (no corrections) = -1.92 eV per atom
Space group = P-31c (163)
Magnetic moment = 0.000 μB per formula unit
Volume = 605 Å³/cell
Electronic total energy = -81.2 eV for the cell shown
Fermi-level density of states = 0.0 states/eV/cell

---

Entry 4:
Here is NaHf2SCl after structural relaxation from the Alexandria database. Energies are from PBE.

```
NaHf2SCl
1.0
4.756 0.000 0.000
0.000 6.074 0.000
0.000 0.000 4.756
Na S Hf Cl
1 1 2 1
direct
0.000 0.500 0.000 Na
0.000 0.000 0.000 S
0.000 0.000 0.500 Hf
0.500 0.000 0.000 Hf
0.500 0.500 0.500 Cl
```

Properties
Formation energy (no corrections) = -0.01 eV per atom
Space group = P4/mmm (123)
Magnetic moment = 1.926 μB per formula unit
Volume = 137 Å³/cell
Electronic total energy = -27.3 eV for the cell shown
Fermi-level density of states = 4.7 states/eV/cell

---

Entry 5:
Here is NaHfSCl2 after structural relaxation from the Alexandria database. Energies are from PBE.

```
NaHfSCl2
1.0
4.617 0.000 0.000
0.000 4.617 0.000
0.000 0.000 5.183
Na S Hf Cl
1 1 1 2
direct
0.000 0.000 0.000 Na
0.000 0.000 0.500 S
0.500 0.500 0.500 Hf
0.000 0.500 0.000 Cl
0.500 0.000 0.000 Cl
```

Properties
Formation energy (no corrections) = -0.13 eV per atom
Space group = P4/mmm (123)
Magnetic moment = 0.951 μB per formula unit
Volume = 111 Å³/cell
Electronic total energy = -19.7 eV for the cell shown
Fermi-level density of states = 3.9 states/eV/cell

---

Entry 6:
Here is NaHfSCl2 after structural relaxation from the Alexandria database. Energies are from PBE.

```
NaHfSCl2
1.0
5.015 0.000 0.000
0.000 5.015 0.000
0.000 0.000 4.956
Na S Hf Cl
1 1 1 2
direct
0.500 0.500 0.500 Na
0.000 0.000 0.500 S
0.000 0.000 0.000 Hf
0.000 0.500 0.000 Cl
0.500 0.000 0.000 Cl
```

Properties
Formation energy (no corrections) = -1.33 eV per atom
Space group = P4/mmm (123)
Magnetic moment = 0.000 μB per formula unit
Volume = 125 Å³/cell
Electronic total energy = -25.8 eV for the cell shown
Fermi-level density of states = 1.5 states/eV/cell

---

Entry 7:
Here is Na2HfSnCl8 after structural relaxation from the Alexandria database. Energies are from PBE.

```
Na2HfSnCl8
1.0
6.598 -0.187 -0.003
-0.198 6.387 -0.007
0.005 0.009 8.356
Na Hf Sn Cl
2 1 1 8
direct
0.500 0.500 0.747 Na
0.500 0.500 0.253 Na
0.000 0.000 0.000 Hf
0.000 0.000 0.500 Sn
0.160 0.797 0.212 Cl
0.705 0.745 0.000 Cl
0.840 0.203 0.212 Cl
0.840 0.203 0.788 Cl
0.295 0.255 0.000 Cl
0.160 0.797 0.788 Cl
0.676 0.719 0.500 Cl
0.324 0.281 0.500 Cl
```

Properties
Formation energy (no corrections) = -1.61 eV per atom
Space group = P2/m (10)
Magnetic moment = 0.000 μB per formula unit
Volume = 352 Å³/cell
Electronic total energy = -50.7 eV for the cell shown
Fermi-level density of states = 0.0 states/eV/cell

---

Entry 8:
Here is Na2SrHfCl8 after structural relaxation from the Alexandria database. Energies are from PBE.

```
Na2SrHfCl8
1.0
6.582 -0.141 -0.004
-0.136 6.433 -0.007
0.005 0.010 8.456
Na Sr Hf Cl
2 1 1 8
direct
0.500 0.500 0.745 Na
0.500 0.500 0.255 Na
0.000 0.000 0.500 Sr
0.000 0.000 0.000 Hf
0.166 0.798 0.209 Cl
0.710 0.745 0.000 Cl
0.834 0.202 0.209 Cl
0.834 0.202 0.791 Cl
0.290 0.255 0.000 Cl
0.166 0.798 0.791 Cl
0.674 0.711 0.500 Cl
0.326 0.289 0.500 Cl
```

Properties
Formation energy (no corrections) = -1.97 eV per atom
Space group = P2/m (10)
Magnetic moment = 0.000 μB per formula unit
Volume = 358 Å³/cell
Electronic total energy = -52.7 eV for the cell shown
Fermi-level density of states = 0.0 states/eV/cell